The following is a DFT calculation (PBE+U) of a relaxed K3Ni2BiO6 crystal.

Cell lengths 5.622, 5.622, 6.367 Å; angles 98.38, 98.38, 120.05 degrees
Atoms (fractional coordinates):
1 K 0.000 0.000 0.000
2 K 0.327 0.673 0.000
3 K 0.673 0.327 0.000
4 Ni 0.166 0.834 0.500
5 Ni 0.834 0.166 0.500
6 Bi 0.500 0.500 0.500
7 O 0.107 0.439 0.319
8 O 0.228 0.228 0.684
9 O 0.439 0.107 0.319
10 O 0.561 0.893 0.681
11 O 0.772 0.772 0.316
12 O 0.893 0.561 0.681

Computed properties:
Energy: -4.715 eV/atom